VASP calculation (PBE-GGA) on a geometry-optimized YHoTlPb structure.

Unit cell a=5.012 b=5.012 c=5.648 alpha=116.35 beta=116.34 gamma=90.00
Sites, in units of the cell vectors:
Tl 0.250 0.750 0.500
Y 0.500 0.500 0.000
Pb 0.750 0.250 0.500
Ho 0.000 0.000 0.000

Properties
SG	No. 119
formation enthalpy at 0 K	-396	meV/atom
calculated volume	110.5	Å³ per cell
energy relative to the lowest polymorph listed for this composition	0.000	eV per atom